No. 1
The following is a DFT calculation (GGA-PBE) of an optimized crystal structure of FePtW2Br.

Unit cell a=4.601 b=4.179 c=4.601 alpha=90.00 beta=90.00 gamma=90.00
Site moments in Bohr magnetons follow the coordinates.
Element x y z (fractional)
Br1 0.000 0.000 0.000  -0.03
W1 0.000 0.000 0.500  -0.15
W2 0.500 0.000 0.000  -0.23
Pt1 0.500 0.500 0.500  0.00
Fe1 0.000 0.500 0.000  1.50

Properties
DFT total energy: -6.635 eV per atom
ΔE_f (raw): 1782 meV/atom
Space-group type: P4/mmm
Total magnetization: 0.1997 μB per atom

No. 2
The following is a DFT calculation (GGA-PBE) of an optimized crystal structure of PuFeBr.

Unit cell a=3.948 b=3.948 c=11.478 alpha=80.10 beta=80.10 gamma=60.00
Site moments in Bohr magnetons follow the coordinates.
Element x y z (fractional)
Pu1 0.555 0.555 0.334  5.25
Pu2 0.445 0.445 0.666  5.25
Br1 0.280 0.280 0.161  -0.05
Br2 0.720 0.720 0.839  -0.05
Fe1 0.839 0.839 0.484  -1.65
Fe2 0.161 0.161 0.516  -1.65

Properties
DFT total energy: -8.789 eV per atom
ΔE_f (raw): -633 meV/atom
Space-group type: R-3m
Total magnetization: 1.2998 μB per atom

No. 3
The following is a DFT calculation (GGA-PBE) of an optimized crystal structure of PuFeBr2.

Unit cell a=3.604 b=3.604 c=9.435 alpha=78.99 beta=78.99 gamma=60.00
Site moments in Bohr magnetons follow the coordinates.
Element x y z (fractional)
Fe1 0.500 0.500 0.500  3.09
Br1 0.109 0.109 0.672  0.07
Br2 0.891 0.891 0.328  0.07
Pu1 0.000 0.000 0.000  5.86

Properties
DFT total energy: -6.634 eV per atom
ΔE_f (raw): -99 meV/atom
Space-group type: R-3m
Total magnetization: 2.4718 μB per atom

No. 4
The following is a DFT calculation (GGA-PBE) of an optimized crystal structure of PuFe2Br8.

Unit cell a=6.648 b=8.206 c=8.206 alpha=79.25 beta=86.22 gamma=86.22
Site moments in Bohr magnetons follow the coordinates.
Element x y z (fractional)
Fe1 0.362 0.205 0.205  3.51
Fe2 0.638 0.795 0.795  3.51
Br1 0.758 0.076 0.714  0.07
Br2 0.242 0.286 0.924  0.07
Br3 0.729 0.194 0.194  0.07
Br4 0.271 0.806 0.806  0.07
Br5 0.758 0.714 0.076  0.07
Br6 0.242 0.924 0.286  0.07
Br7 0.233 0.379 0.379  0.23
Br8 0.767 0.621 0.621  0.23
Pu1 0.000 0.000 0.000  5.10

Properties
DFT total energy: -4.875 eV per atom
ΔE_f (raw): -817 meV/atom
Space-group type: C2/m
Total magnetization: 1.2615 μB per atom

No. 5
The following is a DFT calculation (GGA-PBE) of an optimized crystal structure of PuFeBr6.

Unit cell a=7.242 b=7.242 c=6.555 alpha=98.40 beta=98.40 gamma=110.06
Site moments in Bohr magnetons follow the coordinates.
Element x y z (fractional)
Pu1 0.000 0.000 0.500  4.76
Fe1 0.000 0.000 0.000  0.16
Br1 0.277 0.978 0.252  -0.06
Br2 0.978 0.277 0.252  -0.06
Br3 0.022 0.723 0.748  -0.06
Br4 0.723 0.022 0.748  -0.06
Br5 0.255 0.255 0.872  -0.06
Br6 0.745 0.745 0.128  -0.06

Properties
DFT total energy: -4.990 eV per atom
ΔE_f (raw): -886 meV/atom
Space-group type: C2/m
Total magnetization: 0.5766 μB per atom

No. 6
The following is a DFT calculation (GGA-PBE) of an optimized crystal structure of PuFe3Br12.

Unit cell a=7.762 b=13.327 c=13.328 alpha=120.00 beta=89.93 gamma=89.98
Site moments in Bohr magnetons follow the coordinates.
Element x y z (fractional)
Pu1 0.750 0.667 0.333  5.27
Pu2 0.250 0.333 0.667  5.27
Fe1 0.250 0.893 0.592  3.64
Fe2 0.250 0.699 0.107  3.64
Fe3 0.250 0.408 0.301  3.64
Fe4 0.750 0.592 0.699  3.64
Fe5 0.750 0.301 0.893  3.64
Fe6 0.750 0.107 0.408  3.64
Br1 0.250 0.985 0.790  0.30
Br2 0.750 0.984 0.485  0.24
Br3 0.499 0.767 0.530  0.13
Br4 0.001 0.767 0.530  0.13
Br5 0.750 0.515 0.499  0.24
Br6 0.001 0.763 0.233  0.13
Br7 0.499 0.763 0.233  0.13
Br8 0.250 0.805 0.015  0.30
Br9 0.499 0.470 0.237  0.13
Br10 0.001 0.470 0.237  0.13
Br11 0.750 0.790 0.805  0.30
Br12 0.250 0.499 0.984  0.24
Br13 0.750 0.501 0.016  0.24
Br14 0.250 0.210 0.195  0.30
Br15 0.999 0.530 0.763  0.13
Br16 0.501 0.530 0.763  0.13
Br17 0.750 0.195 0.985  0.30
Br18 0.501 0.237 0.767  0.13
Br19 0.999 0.237 0.767  0.13
Br20 0.250 0.485 0.501  0.24
Br21 0.501 0.233 0.470  0.13
Br22 0.999 0.233 0.470  0.13
Br23 0.250 0.016 0.515  0.24
Br24 0.750 0.015 0.210  0.30

Properties
DFT total energy: -4.402 eV per atom
ΔE_f (raw): -665 meV/atom
Space-group type: P-1
Total magnetization: 1.2641 μB per atom